(1)
Compound: Sm7AgS5
Source: Alexandria
Functional: GGA-PBE
Structure: optimized geometry

a b c (Å): 3.9997 24.2053 6.9267
angles (deg): 90.00 106.70 90.00
Fractional coordinates of all 26 atoms:
1 Sm 0.0290 0.2500 0.0568
2 Sm 0.1362 0.5366 0.2733
3 Sm 0.1362 0.9634 0.2733
4 Sm 0.3186 0.1734 0.6370
5 Sm 0.3186 0.3266 0.6370
6 Sm 0.4109 0.6063 0.8219
7 Sm 0.4109 0.8937 0.8219
8 Sm 0.5891 0.1063 0.1781
9 Sm 0.5891 0.3937 0.1781
10 Sm 0.6814 0.6734 0.3630
11 Sm 0.6814 0.8266 0.3630
12 Sm 0.8638 0.0366 0.7267
13 Sm 0.8638 0.4634 0.7267
14 Sm 0.9710 0.7500 0.9432
15 Ag 0.2965 0.7500 0.5937
16 Ag 0.7035 0.2500 0.4063
17 S 0.0455 0.6410 0.0911
18 S 0.0455 0.8590 0.0911
19 S 0.2263 0.0699 0.4521
20 S 0.2263 0.4301 0.4521
21 S 0.5000 0.0000 0.0000
22 S 0.5000 0.5000 0.0000
23 S 0.7737 0.5699 0.5479
24 S 0.7737 0.9301 0.5479
25 S 0.9545 0.1410 0.9089
26 S 0.9545 0.3590 0.9089

Output
Symmetry   P2_1/m
Formation energy without anion corrections   -1600 meV per atom

(2)
Compound: Sm2Ag4S5
Source: Alexandria
Functional: GGA-PBE
Structure: optimized geometry

a b c (Å): 17.5450 17.5450 17.5450
angles (deg): 13.48 13.48 13.48
Fractional coordinates of all 11 atoms:
1 Sm 0.1351 0.1351 0.1351
2 Sm 0.8649 0.8649 0.8649
3 Ag 0.3081 0.3081 0.3081
4 Ag 0.4144 0.4144 0.4144
5 Ag 0.5856 0.5856 0.5856
6 Ag 0.6919 0.6919 0.6919
7 S 0.2271 0.2271 0.2271
8 S 0.3675 0.3675 0.3675
9 S 0.5000 0.5000 0.5000
10 S 0.6325 0.6325 0.6325
11 S 0.7729 0.7729 0.7729

Output
Symmetry   R-3m
Formation energy without anion corrections   -785 meV per atom